Entry 1:
Entry from the Alexandria database: crystalline Ho8Te4P3Au at its relaxed geometry (PBE-GGA).

The raw formation energy comes out at -1.386 eV per atom. The density of states at the Fermi level is 29.43 states/eV/cell.

The structure belongs to space group R-3m (No. 166, hexagonal axes); the cell edges are 8.3130, 8.3130 and 20.8985 Å and the angles 90.00°, 90.00° and 120.00°. The asymmetric unit holds Ho at (0.0000, 0.0000, 0.2362), Ho at (0.0076, 0.5038, 0.7613), Te at (0.0000, 0.0000, 0.0000), Te at (0.0000, 0.5000, 0.0000), P at (0.0000, 0.5000, 0.5000) and Au at (0.0000, 0.0000, 0.5000).

***

Entry 2:
Entry from the Alexandria database: crystalline HoPaAu at its relaxed geometry (PBE-GGA).

The value obtained for the formation energy from the elements is -0.013 eV per atom. The energy above the most stable polymorph in this dataset comes out at 0.206 eV per atom. The density of states at the Fermi level is 4.83 states/eV/cell.

The structure belongs to space group P3m1 (No. 156); the cell edges are 5.0423, 5.0423 and 3.2957 Å and the angles 90.00°, 90.00° and 120.00°. The asymmetric unit holds Ho at (0.0000, 0.0000, 0.0000), Pa at (0.3333, 0.6667, 0.5839) and Au at (0.6667, 0.3333, 0.3425).

***

Entry 3:
Entry from the Alexandria database: crystalline HoPaAu6 at its relaxed geometry (PBE-GGA).

The value obtained for the formation energy from the elements is -0.531 eV per atom. The density of states at the Fermi level is 10.88 states/eV/cell.

The structure belongs to space group C2/m (No. 12); the cell edges are 8.461, 4.887 and 8.442 Å and the angles 90.00°, 109.61° and 90.00°. The asymmetric unit holds Ho at (0.000, 0.000, 0.000), Pa at (0.000, 0.500, 0.500), Au at (0.123, 0.000, 0.371), Au at (0.126, 0.500, 0.879) and Au at (0.249, 0.000, 0.747).

***

Entry 4:
Entry from the Alexandria database: crystalline HoPaAu at its relaxed geometry (PBE-GGA).

The value obtained for the formation energy from the elements is -0.219 eV per atom. The energy above the most stable polymorph in this dataset comes out at 0.000 eV per atom. The density of states at the Fermi level is 10.38 states/eV/cell.

The structure belongs to space group I4mm (No. 107); the cell edges are 3.348, 3.348 and 13.245 Å and the angles 90.00°, 90.00° and 90.00°. The asymmetric unit holds Ho at (0.000, 0.000, 0.000), Pa at (0.000, 0.000, 0.693) and Au at (0.000, 0.000, 0.355).

***

Entry 5:
Entry from the Alexandria database: crystalline HoPaAu at its relaxed geometry (PBE-GGA).

The value obtained for the formation energy from the elements is -0.065 eV per atom. The energy above the most stable polymorph in this dataset comes out at 0.154 eV per atom. The density of states at the Fermi level is 10.70 states/eV/cell.

The structure belongs to space group P-3m1 (No. 164); the cell edges are 4.9655, 4.9655 and 6.7583 Å and the angles 90.00°, 90.00° and 120.00°. The asymmetric unit holds Ho at (0.0000, 0.0000, 0.2284), Pa at (0.3333, 0.6667, 0.4611) and Au at (0.3333, 0.6667, 0.9309).

***

Entry 6:
Entry from the Alexandria database: crystalline Ho2PaAu at its relaxed geometry (PBE-GGA).

The value obtained for the formation energy from the elements is -0.300 eV per atom. The energy above the most stable polymorph in this dataset comes out at 0.000 eV per atom. The density of states at the Fermi level is 5.72 states/eV/cell.

The structure belongs to space group P4/mmm (No. 123); the cell edges are 3.509, 3.509 and 8.182 Å and the angles 90.00°, 90.00° and 90.00°. The asymmetric unit holds Ho at (0.000, 0.000, 0.222), Pa at (0.500, 0.500, 0.500) and Au at (0.500, 0.500, 0.000).

***

Entry 7:
Entry from the Alexandria database: crystalline Ho2PaAu at its relaxed geometry (PBE-GGA).

The value obtained for the formation energy from the elements is 0.064 eV per atom. The energy above the most stable polymorph in this dataset comes out at 0.364 eV per atom. The density of states at the Fermi level is 14.69 states/eV/cell.

The structure belongs to space group R-3m (No. 166, hexagonal axes); the cell edges are 3.2717, 3.2717 and 33.6225 Å and the angles 90.00°, 90.00° and 120.00°. The asymmetric unit holds Ho at (0.0000, 0.0000, 0.0959), Pa at (0.0000, 0.0000, 0.0000) and Au at (0.0000, 0.0000, 0.5000).

***

Entry 8:
Entry from the Alexandria database: crystalline HoPaPtAu at its relaxed geometry (PBE-GGA).

The value obtained for the formation energy from the elements is -0.700 eV per atom. The density of states at the Fermi level is 26.31 states/eV/cell.

The structure belongs to space group F-43m (No. 216); the cell edges are 7.104, 7.104 and 7.104 Å and the angles 90.00°, 90.00° and 90.00°. The asymmetric unit holds Ho at (0.000, 0.000, 0.000), Pa at (0.000, 0.000, 0.500), Pt at (0.250, 0.250, 0.250) and Au at (0.250, 0.250, 0.750).

***

Entry 9:
Entry from the Alexandria database: crystalline HoPaSiAu at its relaxed geometry (PBE-GGA).

The raw formation energy comes out at -0.351 eV per atom. The density of states at the Fermi level is 30.59 states/eV/cell.

The structure belongs to space group F-43m (No. 216); the cell edges are 7.131, 7.131 and 7.131 Å and the angles 90.00°, 90.00° and 90.00°. The asymmetric unit holds Ho at (0.000, 0.000, 0.000), Pa at (0.000, 0.000, 0.500), Si at (0.250, 0.250, 0.750) and Au at (0.250, 0.250, 0.250).

***

Entry 10:
Entry from the Alexandria database: crystalline HoPaTlAu at its relaxed geometry (PBE-GGA).

The value obtained for the formation energy from the elements is -0.139 eV per atom. The density of states at the Fermi level is 35.56 states/eV/cell.

The structure belongs to space group F-43m (No. 216); the cell edges are 7.414, 7.414 and 7.414 Å and the angles 90.00°, 90.00° and 90.00°. The asymmetric unit holds Ho at (0.000, 0.000, 0.000), Pa at (0.000, 0.000, 0.500), Tl at (0.250, 0.250, 0.750) and Au at (0.250, 0.250, 0.250).

***

Entry 11:
Entry from the Alexandria database: crystalline HoPaZnAu at its relaxed geometry (PBE-GGA).

The value obtained for the formation energy from the elements is -0.210 eV per atom. The density of states at the Fermi level is 30.31 states/eV/cell.

The structure belongs to space group F-43m (No. 216); the cell edges are 7.170, 7.170 and 7.170 Å and the angles 90.00°, 90.00° and 90.00°. The asymmetric unit holds Ho at (0.000, 0.000, 0.000), Pa at (0.000, 0.000, 0.500), Zn at (0.250, 0.250, 0.750) and Au at (0.250, 0.250, 0.250).

***

Entry 12:
Entry from the Alexandria database: crystalline HoPbAu4 at its relaxed geometry (PBE-GGA).

The value obtained for the formation energy from the elements is -0.365 eV per atom. The density of states at the Fermi level is 13.52 states/eV/cell.

The structure belongs to space group F-43m (No. 216); the cell edges are 8.015, 8.015 and 8.015 Å and the angles 90.00°, 90.00° and 90.00°. The asymmetric unit holds Ho at (0.000, 0.000, 0.000), Pb at (0.250, 0.250, 0.250) and Au at (0.125, 0.125, 0.625).

***

Number 1: E_tot -272.60 eV for the cell shown. Number 2: E_tot -17.39 eV for the cell shown. Number 3: E_tot -75.98 eV for the cell shown. Number 4: E_tot -36.02 eV for the cell shown. Number 5: E_tot -35.09 eV for the cell shown. Number 6: E_tot -23.13 eV for the cell shown. Number 7: E_tot -65.02 eV for the cell shown. Number 8: E_tot -104.77 eV for the cell shown. Number 9: E_tot -96.71 eV for the cell shown. Number 10: E_tot -81.09 eV for the cell shown. Number 11: E_tot -77.86 eV for the cell shown. Number 12: E_tot -94.34 eV for the cell shown.